First-principles (PBE) data for a relaxed structure of BaCa2YIr, as listed in the Alexandria database.

Unit cell a=5.7559 b=5.7559 c=5.4658 alpha=90.00 beta=90.00 gamma=90.00
Last column: nearest neighbours and their distance in Å.
Element x y z (fractional)
Ba  0.0000  0.0000  0.0000  8 Ca 3.97, 4 Y 4.07
Ca  0.0000  0.5000  0.5000  2 Ir 2.88
Ca  0.5000  0.0000  0.5000  2 Ir 2.88
Y  0.5000  0.5000  0.0000  2 Ir 2.73
Ir  0.5000  0.5000  0.5000  2 Y 2.73, 4 Ca 2.88

## Properties
DFT total energy   -4.505 eV/atom
SG   P4/mmm
Energy of formation   -0.2548 eV/atom
Total magnetic moment   0.0 μB per cell